No. 1
Below is a relaxed Ac8PmNd5 crystal, with properties calculated at the PBE level.

```
Ac8PmNd5
1.0
8.975 -0.050 -2.349
-4.603 8.139 -2.149
0.367 0.440 7.588
Ac Pm Nd
8 1 5
direct
0.078 0.760 0.060
0.905 0.034 0.594
0.755 0.302 0.369
0.756 0.310 0.870
0.627 0.618 0.163
0.489 0.894 0.944
0.320 0.178 0.477
0.078 0.746 0.557
0.203 0.462 0.770
0.203 0.463 0.267
0.918 0.045 0.093
0.631 0.628 0.667
0.477 0.883 0.441
0.311 0.177 0.977
```

Summary:
- calculated density (g/cm3) = 7.78
- formation energy (eV per atom) = 0.06

No. 2
Below is a relaxed Pu2BAu crystal, with properties calculated at the PBE level.

```
Pu2BAu
1.0
3.177 0.000 0.000
0.000 3.177 0.000
0.000 0.000 7.541
B Au Pu
1 1 2
direct
0.500 0.500 0.000
0.500 0.500 0.500
0.000 0.000 0.806
0.000 0.000 0.194
```

Summary:
- calculated density (g/cm3) = 15.18
- formation energy (eV per atom) = -0.12

No. 3
Below is a relaxed Sn2OsSe crystal, with properties calculated at the PBE level.

```
Sn2OsSe
1.0
6.205 0.000 0.000
0.000 6.205 0.000
3.103 3.103 6.191
Os Sn Se
2 4 2
direct
0.000 0.000 0.000
0.750 0.250 0.500
0.662 0.125 0.250
0.088 0.625 0.250
0.375 0.338 0.750
0.875 0.912 0.750
0.500 0.500 0.000
0.250 0.750 0.500
```

Summary:
- calculated density (g/cm3) = 7.06

No. 4
Below is a relaxed Sr5SmTe6 crystal, with properties calculated at the PBE level.

```
Sr5SmTe6
1.0
7.969 -0.123 -1.503
-4.305 6.707 -1.503
0.156 0.281 8.108
Sr Te Sm
5 6 1
direct
0.831 0.169 0.500
0.666 0.334 0.000
0.500 0.500 0.500
0.334 0.666 0.000
0.169 0.831 0.500
0.404 0.081 0.243
0.919 0.596 0.757
0.241 0.241 0.755
0.759 0.759 0.245
0.081 0.404 0.243
0.596 0.919 0.757
0.000 0.000 0.000
```

Summary:
- calculated density (g/cm3) = 5.16

No. 5
Below is a relaxed TaAlCr crystal, with properties calculated at the PBE level.

```
TaAlCr
1.0
4.370 0.000 0.000
-2.185 3.785 0.000
0.000 0.000 2.741
Cr Al Ta
1 1 1
direct
0.667 0.333 0.339
0.000 0.000 0.043
0.333 0.667 0.618
```

Summary:
- calculated density (g/cm3) = 9.52
- formation energy (eV per atom) = -0.05

No. 6
Below is a relaxed CaAgHg crystal, with properties calculated at the PBE level.

```
CaAgHg
1.0
4.177 0.000 -0.046
0.000 4.923 0.000
-2.023 0.000 7.038
Ca Ag Hg
2 2 2
direct
0.904 0.250 0.809
0.096 0.750 0.191
0.239 0.250 0.479
0.761 0.750 0.521
0.591 0.250 0.180
0.409 0.750 0.820
```

Summary:
- calculated density (g/cm3) = 8.03
- formation energy (eV per atom) = -0.33

Going through the records in order, we get raw total energy values of -4.33; -9.77; -5.21; -4.33; -8.45; -2.04 eV per atom.